Model a:
# SmSiNO

Crystalline SmSiNO at its relaxed geometry (GGA-PBE, the Open Quantum Materials Database).

```
data_SmSiNO
_chemical_formula_sum 'Sm2 Si2 N2 O2'
_space_group_name_H-M_alt 'P 1'
_space_group_IT_number 1
_cell_length_a 3.965
_cell_length_b 3.965
_cell_length_c 7.498
_cell_angle_alpha 90.00
_cell_angle_beta 90.00
_cell_angle_gamma 90.00
loop_
_space_group_symop_operation_xyz
'x,y,z'
loop_
_atom_site_label
_atom_site_fract_x
_atom_site_fract_y
_atom_site_fract_z
Sm1 0.250 0.250 0.154
Sm2 0.750 0.750 0.846
Si1 0.250 0.750 0.500
Si2 0.750 0.250 0.500
N1 0.250 0.250 0.505
N2 0.750 0.750 0.495
O1 0.250 0.750 0.000
O2 0.750 0.250 0.000
```



Model b:
# SmSiNO

Crystalline SmSiNO at its relaxed geometry (GGA-PBE, the Open Quantum Materials Database).

```
data_SmSiNO
_chemical_formula_sum 'Sm2 Si2 N2 O2'
_space_group_name_H-M_alt 'P 1'
_space_group_IT_number 1
_cell_length_a 3.290
_cell_length_b 5.220
_cell_length_c 6.019
_cell_angle_alpha 90.00
_cell_angle_beta 90.00
_cell_angle_gamma 90.00
loop_
_space_group_symop_operation_xyz
'x,y,z'
loop_
_atom_site_label
_atom_site_fract_x
_atom_site_fract_y
_atom_site_fract_z
Sm1 0.000 0.179 0.000
Sm2 0.000 0.821 0.500
Si1 0.500 0.363 0.502
Si2 0.500 0.637 0.002
N1 0.000 0.312 0.385
N2 0.000 0.688 0.885
O1 0.500 0.115 0.694
O2 0.500 0.885 0.194
```



Least stable = model a



Model a:
# TbSiNO

Crystalline TbSiNO at its relaxed geometry (GGA-PBE, the Open Quantum Materials Database).

```
data_TbSiNO
_chemical_formula_sum 'Tb2 Si2 N2 O2'
_space_group_name_H-M_alt 'P 1'
_space_group_IT_number 1
_cell_length_a 3.751
_cell_length_b 4.847
_cell_length_c 5.270
_cell_angle_alpha 90.00
_cell_angle_beta 90.00
_cell_angle_gamma 90.00
loop_
_space_group_symop_operation_xyz
'x,y,z'
loop_
_atom_site_label
_atom_site_fract_x
_atom_site_fract_y
_atom_site_fract_z
Tb1 0.000 0.239 0.000
Tb2 0.000 0.761 0.500
Si1 0.500 0.250 0.500
Si2 0.500 0.750 0.000
N1 0.500 0.001 0.249
N2 0.500 0.999 0.749
O1 0.000 0.281 0.500
O2 0.000 0.719 0.000
```



Model b:
# TbSiNO

Crystalline TbSiNO at its relaxed geometry (GGA-PBE, the Open Quantum Materials Database).

```
data_TbSiNO
_chemical_formula_sum 'Tb4 Si4 N4 O4'
_space_group_name_H-M_alt 'P 1'
_space_group_IT_number 1
_cell_length_a 5.271
_cell_length_b 8.249
_cell_length_c 4.883
_cell_angle_alpha 90.00
_cell_angle_beta 90.00
_cell_angle_gamma 90.00
loop_
_space_group_symop_operation_xyz
'x,y,z'
loop_
_atom_site_label
_atom_site_fract_x
_atom_site_fract_y
_atom_site_fract_z
Tb1 0.010 0.134 0.000
Tb2 0.490 0.134 0.500
Tb3 0.510 0.866 0.000
Tb4 0.990 0.866 0.500
Si1 0.081 0.588 0.946
Si2 0.419 0.588 0.446
Si3 0.581 0.412 0.946
Si4 0.919 0.412 0.446
N1 0.116 0.560 0.589
N2 0.384 0.560 0.089
N3 0.616 0.440 0.589
N4 0.884 0.440 0.089
O1 0.035 0.234 0.505
O2 0.465 0.234 0.005
O3 0.535 0.766 0.505
O4 0.965 0.766 0.005
```



Model c:
# TbSiNO

Crystalline TbSiNO at its relaxed geometry (GGA-PBE, the Open Quantum Materials Database).

```
data_TbSiNO
_chemical_formula_sum 'Tb2 Si2 N2 O2'
_space_group_name_H-M_alt 'P 1'
_space_group_IT_number 1
_cell_length_a 3.234
_cell_length_b 5.869
_cell_length_c 5.774
_cell_angle_alpha 90.00
_cell_angle_beta 90.00
_cell_angle_gamma 90.00
loop_
_space_group_symop_operation_xyz
'x,y,z'
loop_
_atom_site_label
_atom_site_fract_x
_atom_site_fract_y
_atom_site_fract_z
Tb1 0.000 0.215 0.000
Tb2 0.000 0.785 0.500
Si1 0.500 0.247 0.533
Si2 0.500 0.753 0.033
N1 0.000 0.184 0.402
N2 0.000 0.816 0.902
O1 0.500 0.468 0.064
O2 0.500 0.532 0.564
```



Model d:
# TbSiNO

Crystalline TbSiNO at its relaxed geometry (GGA-PBE, the Open Quantum Materials Database).

```
data_TbSiNO
_chemical_formula_sum 'Tb2 Si2 N2 O2'
_space_group_name_H-M_alt 'P 1'
_space_group_IT_number 1
_cell_length_a 3.926
_cell_length_b 3.926
_cell_length_c 7.338
_cell_angle_alpha 90.00
_cell_angle_beta 90.00
_cell_angle_gamma 90.00
loop_
_space_group_symop_operation_xyz
'x,y,z'
loop_
_atom_site_label
_atom_site_fract_x
_atom_site_fract_y
_atom_site_fract_z
Tb1 0.250 0.250 0.150
Tb2 0.750 0.750 0.850
Si1 0.250 0.750 0.500
Si2 0.750 0.250 0.500
N1 0.250 0.250 0.501
N2 0.750 0.750 0.499
O1 0.250 0.750 0.000
O2 0.750 0.250 0.000
```



Least stable = model d



Model a:
# SrSmNO

Crystalline SrSmNO at its relaxed geometry (GGA-PBE, the Open Quantum Materials Database).

```
data_SrSmNO
_chemical_formula_sum 'Sr4 Sm4 N4 O4'
_space_group_name_H-M_alt 'P 1'
_space_group_IT_number 1
_cell_length_a 7.208
_cell_length_b 8.444
_cell_length_c 5.115
_cell_angle_alpha 90.00
_cell_angle_beta 90.00
_cell_angle_gamma 90.00
loop_
_space_group_symop_operation_xyz
'x,y,z'
loop_
_atom_site_label
_atom_site_fract_x
_atom_site_fract_y
_atom_site_fract_z
Sr1 0.084 0.128 0.000
Sr2 0.416 0.128 0.500
Sr3 0.584 0.872 0.000
Sr4 0.916 0.872 0.500
Sm1 0.083 0.621 0.999
Sm2 0.417 0.621 0.499
Sm3 0.583 0.379 0.999
Sm4 0.917 0.379 0.499
N1 0.091 0.613 0.507
N2 0.409 0.613 0.007
N3 0.591 0.387 0.507
N4 0.909 0.387 0.007
O1 0.072 0.135 0.502
O2 0.428 0.135 0.002
O3 0.572 0.865 0.502
O4 0.928 0.865 0.002
```



Model b:
# SrSmNO

Crystalline SrSmNO at its relaxed geometry (GGA-PBE, the Open Quantum Materials Database).

```
data_SrSmNO
_chemical_formula_sum 'Sr4 Sm4 N4 O4'
_space_group_name_H-M_alt 'P 1'
_space_group_IT_number 1
_cell_length_a 6.898
_cell_length_b 8.110
_cell_length_c 5.956
_cell_angle_alpha 90.00
_cell_angle_beta 90.00
_cell_angle_gamma 90.00
loop_
_space_group_symop_operation_xyz
'x,y,z'
loop_
_atom_site_label
_atom_site_fract_x
_atom_site_fract_y
_atom_site_fract_z
Sr1 0.086 0.124 0.000
Sr2 0.414 0.124 0.500
Sr3 0.586 0.876 0.000
Sr4 0.914 0.876 0.500
Sm1 0.086 0.618 0.983
Sm2 0.414 0.618 0.483
Sm3 0.586 0.382 0.983
Sm4 0.914 0.382 0.483
N1 0.056 0.157 0.573
N2 0.444 0.157 0.073
N3 0.556 0.843 0.573
N4 0.944 0.843 0.073
O1 0.095 0.607 0.599
O2 0.405 0.607 0.099
O3 0.595 0.393 0.599
O4 0.905 0.393 0.099
```



Least stable = model b



Model a:
# SrSmNO

Crystalline SrSmNO at its relaxed geometry (GGA-PBE, the Open Quantum Materials Database).

```
data_SrSmNO
_chemical_formula_sum 'Sr2 Sm2 N2 O2'
_space_group_name_H-M_alt 'P 1'
_space_group_IT_number 1
_cell_length_a 3.925
_cell_length_b 7.108
_cell_length_c 5.912
_cell_angle_alpha 90.00
_cell_angle_beta 90.00
_cell_angle_gamma 90.00
loop_
_space_group_symop_operation_xyz
'x,y,z'
loop_
_atom_site_label
_atom_site_fract_x
_atom_site_fract_y
_atom_site_fract_z
Sr1 0.000 0.161 0.000
Sr2 0.000 0.839 0.500
Sm1 0.500 0.340 0.514
Sm2 0.500 0.660 0.014
N1 0.000 0.188 0.429
N2 0.000 0.812 0.929
O1 0.500 0.353 0.898
O2 0.500 0.647 0.398
```



Model b:
# SrSmNO

Crystalline SrSmNO at its relaxed geometry (GGA-PBE, the Open Quantum Materials Database).

```
data_SrSmNO
_chemical_formula_sum 'Sr2 Sm2 N2 O2'
_space_group_name_H-M_alt 'P 1'
_space_group_IT_number 1
_cell_length_a 4.193
_cell_length_b 4.193
_cell_length_c 8.513
_cell_angle_alpha 90.00
_cell_angle_beta 90.00
_cell_angle_gamma 90.00
loop_
_space_group_symop_operation_xyz
'x,y,z'
loop_
_atom_site_label
_atom_site_fract_x
_atom_site_fract_y
_atom_site_fract_z
Sr1 0.250 0.750 0.000
Sr2 0.750 0.250 0.000
Sm1 0.250 0.250 0.383
Sm2 0.750 0.750 0.617
N1 0.250 0.250 0.838
N2 0.750 0.750 0.162
O1 0.250 0.750 0.500
O2 0.750 0.250 0.500
```



Least stable = model b